# 1
Here is crystalline Cs2TeCl6F at its relaxed geometry from the Alexandria database. Energies are from PBE-GGA.

a = 8.0778 Å, b = 8.0778 Å, c = 9.6660 Å
α = 90.00°, β = 90.00°, γ = 90.00°
Space group I4/mmm (No. 139)
One atom of each set of equivalent atoms:
Cs1 0.0000 0.5000 0.2500 x4
Te1 0.0000 0.0000 0.0000 x2
Cl1 0.0000 0.0000 0.2624 x4
Cl2 0.2229 0.2229 0.0000 x8
F1 0.0000 0.0000 0.5000 x2

Results
**Formation energy (no corrections)**: -1194.7 meV/atom
**Total magnetic moment**: 0.00 μB/f.u.

=====

# 2
Here is crystalline AcPrZnPd at its relaxed geometry from the Alexandria database. Energies are from PBE-GGA.

a = 4.6246 Å, b = 4.3129 Å, c = 11.0901 Å
α = 90.00°, β = 90.00°, γ = 90.00°
Space group Amm2 (No. 38)
One atom of each set of equivalent atoms:
Ac1 0.0000 0.0000 0.0000 x2
Pr1 0.5000 0.0000 0.2831 x2
Zn1 0.5000 0.0000 0.5779 x2
Pd1 0.0000 0.0000 0.7148 x2

Results
**Energy relative to the lowest polymorph listed for this composition**: 0 meV/atom
**Total magnetic moment**: 0.00 μB/f.u.
**ΔH_f (0 K)**: -0.5017 eV/atom

=====

# 3
Here is crystalline Tb2Sm4Dy5 at its relaxed geometry from the Alexandria database. Energies are from PBE-GGA.

a = 3.5024 Å, b = 9.1733 Å, c = 23.0576 Å
α = 90.00°, β = 90.00°, γ = 90.00°
Space group Immm (No. 71)
One atom of each set of equivalent atoms:
Tb1 0.0000 0.0000 0.2305 x4
Sm1 0.0000 0.0000 0.0965 x4
Sm2 0.0000 0.2997 0.5000 x4
Dy1 0.0000 0.1990 0.3532 x8
Dy2 0.0000 0.5000 0.0000 x2

Results
**Energy relative to the lowest polymorph listed for this composition**: 240 meV/atom
**Total magnetic moment**: 0.00 μB/f.u.
**ΔH_f (0 K)**: 0.2551 eV/atom

=====

# 4
Here is crystalline Tl6InI8 at its relaxed geometry from the Alexandria database. Energies are from PBE-GGA.

a = 10.4907 Å, b = 10.4907 Å, c = 6.8221 Å
α = 90.00°, β = 90.00°, γ = 120.00°
Space group P-3 (No. 147)
One atom of each set of equivalent atoms:
Tl1 0.0000 0.3779 0.2217 x6
In1 0.0000 0.0000 0.0000 x1
I1 0.9999 0.2543 0.7501 x6
I2 0.3333 0.6667 0.9988 x2

Results
**Formation energy (no corrections)**: -570.2 meV/atom
**Total magnetic moment**: 0.00 μB/f.u.

=====

# 5
Here is crystalline KBa2NaAu at its relaxed geometry from the Alexandria database. Energies are from PBE-GGA.

a = 6.4375 Å, b = 6.4375 Å, c = 6.5162 Å
α = 90.00°, β = 90.00°, γ = 90.00°
Space group P4/mmm (No. 123)
One atom of each set of equivalent atoms:
K1 0.0000 0.0000 0.0000 x1
Ba1 0.0000 0.5000 0.5000 x2
Na1 0.5000 0.5000 0.0000 x1
Au1 0.0000 0.0000 0.5000 x1

Results
**Energy relative to the lowest polymorph listed for this composition**: 13 meV/atom
**Total magnetic moment**: 0.00 μB/f.u.
**ΔH_f (0 K)**: -0.2208 eV/atom

=====

# 6
Here is crystalline AcYNiAg at its relaxed geometry from the Alexandria database. Energies are from PBE-GGA.

a = 7.3924 Å, b = 7.3924 Å, c = 7.3924 Å
α = 90.00°, β = 90.00°, γ = 90.00°
Space group F-43m (No. 216)
One atom of each set of equivalent atoms:
Ac1 0.0000 0.0000 0.0000 x4
Y1 0.0000 0.0000 0.5000 x4
Ni1 0.2500 0.2500 0.2500 x4
Ag1 0.2500 0.2500 0.7500 x4

Results
**Total magnetic moment**: 0.00 μB/f.u.
**ΔH_f (0 K)**: -0.1745 eV/atom

=====

# 7
Here is crystalline SiSbRu2 at its relaxed geometry from the Alexandria database. Energies are from PBE-GGA.

a = 2.9681 Å, b = 2.9681 Å, c = 7.6934 Å
α = 90.00°, β = 90.00°, γ = 90.00°
Space group P4mm (No. 99)
One atom of each set of equivalent atoms:
Si1 0.0000 0.0000 0.0000 x1
Sb1 0.5000 0.5000 0.6437 x1
Ru1 0.0000 0.0000 0.4084 x1
Ru2 0.5000 0.5000 0.1733 x1

Results
**Formation energy (no corrections)**: 112.0 meV/atom
**Energy relative to the lowest polymorph listed for this composition**: 307 meV/atom
**Total magnetic moment**: 0.00 μB/f.u.

=====

# 8
Here is crystalline CaTeRh at its relaxed geometry from the Alexandria database. Energies are from PBE-GGA.

a = 4.4580 Å, b = 4.4580 Å, c = 4.1820 Å
α = 90.00°, β = 90.00°, γ = 120.00°
Space group P-6m2 (No. 187)
One atom of each set of equivalent atoms:
Ca1 0.0000 0.0000 0.0000 x1
Te1 0.3333 0.6667 0.5000 x1
Rh1 0.6667 0.3333 0.5000 x1

Results
**Formation energy (no corrections)**: -847.3 meV/atom
**Total magnetic moment**: 0.00 μB/f.u.

=====

# 9
Here is crystalline Tb2Sm8Tm at its relaxed geometry from the Alexandria database. Energies are from PBE-GGA.

a = 16.6530 Å, b = 6.7557 Å, c = 6.7049 Å
α = 90.00°, β = 100.50°, γ = 90.00°
Space group C2/m (No. 12)
One atom of each set of equivalent atoms:
Tb1 0.1969 0.0000 0.3037 x4
Sm1 0.0870 0.2621 0.9023 x8
Sm2 0.0919 0.5000 0.4116 x4
Sm3 0.2442 0.0000 0.8154 x4
Tm1 0.0000 0.0000 0.5000 x2

Results
**Total magnetic moment**: 0.00 μB/f.u.
**ΔH_f (0 K)**: 0.1682 eV/atom

=====

# 10
Here is crystalline LaPm2NdY at its relaxed geometry from the Alexandria database. Energies are from PBE-GGA.

a = 8.5151 Å, b = 11.8436 Å, c = 7.2918 Å
α = 90.00°, β = 90.00°, γ = 90.00°
Space group Cmcm (No. 63)
One atom of each set of equivalent atoms:
La1 0.0000 0.2294 0.2500 x4
Pm1 0.1888 0.0000 0.0000 x8
Nd1 0.0000 0.4876 0.2500 x4
Y1 0.0000 0.2296 0.7500 x4

Results
**Total magnetic moment**: 0.00 μB/f.u.
**ΔH_f (0 K)**: 0.3518 eV/atom

=====

# 11
Here is crystalline Mo4Cl at its relaxed geometry from the Alexandria database. Energies are from PBE-GGA.

a = 4.3799 Å, b = 4.3799 Å, c = 4.3799 Å
α = 90.00°, β = 90.00°, γ = 90.00°
Space group Pm-3m (No. 221)
One atom of each set of equivalent atoms:
Mo1 0.0000 0.0000 0.0000 x1
Mo2 0.0000 0.5000 0.5000 x3
Cl1 0.5000 0.5000 0.5000 x1

Results
**Formation energy (no corrections)**: 1161.3 meV/atom
**Energy relative to the lowest polymorph listed for this composition**: 0 meV/atom
**Total magnetic moment**: 0.00 μB/f.u.